{
  "formula": "K3Rb4LiI8",
  "functional": "PBE-GGA",
  "state": "optimized geometry",
  "lattice_angstrom": [[10.142, 0.000, 0.000], [0.000, 10.189, 0.019], [-5.071, -5.071, 7.204]],
  "species": ["I", "I", "I", "I", "I", "I", "I", "I", "Rb", "Rb", "Rb", "Rb", "K", "K", "K", "Li"],
  "frac_coords": [[0.237, 0.730, 0.475], [0.771, 0.278, 0.007], [0.254, 0.262, 0.508], [0.229, 0.722, 0.993], [0.763, 0.270, 0.525], [0.236, 0.278, 0.007], [0.746, 0.738, 0.492], [0.764, 0.722, 0.993], [0.000, 0.000, 0.500], [0.000, 0.000, 0.000], [0.500, 0.000, 0.000], [0.500, 0.000, 0.500], [0.500, 0.500, 0.000], [0.500, 0.500, 0.500], [0.000, 0.500, 0.500], [0.000, 0.500, 0.000]],
  "mass_density_g_cm3": 3.30,
  "e_tot_ev_per_atom": -2.77
}



{
  "formula": "NaHgP2S",
  "functional": "PBE-GGA",
  "state": "optimized geometry",
  "lattice_angstrom": [[-0.844, 4.908, -0.264], [-4.913, -0.834, 0.198], [0.147, 0.286, 4.843]],
  "species": ["P", "P", "S", "Na", "Hg"],
  "frac_coords": [[0.500, 0.000, 0.000], [0.000, 0.500, 0.000], [0.000, 0.000, 0.500], [0.000, 0.000, 0.000], [0.500, 0.500, 0.500]],
  "de_polymorph_mev_per_atom": 453,
  "mass_density_g_cm3": 4.37
}



{
  "formula": "Sr3InAu",
  "functional": "PBE-GGA",
  "state": "optimized geometry",
  "lattice_angstrom": [[4.691, 0.000, 1.310], [1.868, 8.272, 2.365], [-0.167, 0.287, 9.651]],
  "species": ["Sr", "Sr", "Sr", "Sr", "Sr", "Sr", "Au", "Au", "In", "In"],
  "frac_coords": [[0.589, 0.763, 0.059], [0.411, 0.237, 0.941], [0.836, 0.012, 0.315], [0.133, 0.438, 0.296], [0.867, 0.562, 0.704], [0.164, 0.988, 0.685], [0.770, 0.378, 0.081], [0.230, 0.622, 0.919], [0.432, 0.697, 0.440], [0.568, 0.303, 0.560]],
  "de_polymorph_mev_per_atom": 0,
  "mass_density_g_cm3": 5.11,
  "e_form_ev_per_atom": -0.472
}



{
  "formula": "AcTb",
  "functional": "PBE-GGA",
  "state": "optimized geometry",
  "lattice_angstrom": [[-4.203, 0.505, -0.220], [-0.362, -3.806, -1.830], [-0.415, -1.796, 3.817]],
  "species": ["Tb", "Ac"],
  "frac_coords": [[0.000, 0.000, 0.000], [0.500, 0.500, 0.500]],
  "de_polymorph_mev_per_atom": 37,
  "mass_density_g_cm3": 8.41,
  "e_form_ev_per_atom": 0.095
}



{
  "formula": "DyZrZnCo",
  "functional": "PBE-GGA",
  "state": "optimized geometry",
  "lattice_angstrom": [[4.748, 0.000, 0.000], [2.374, 4.112, 0.000], [2.374, 1.371, 3.877]],
  "species": ["Zr", "Zn", "Dy", "Co"],
  "frac_coords": [[0.750, 0.750, 0.750], [0.500, 0.500, 0.500], [0.250, 0.250, 0.250], [0.000, 0.000, 0.000]],
  "mass_density_g_cm3": 8.29,
  "e_form_ev_per_atom": -0.168
}



{
  "formula": "La6Tl2In",
  "functional": "PBE-GGA",
  "state": "optimized geometry",
  "lattice_angstrom": [[5.924, 0.000, 0.729], [0.000, 9.552, 0.000], [0.177, 0.000, 10.560]],
  "species": ["Tl", "Tl", "Tl", "Tl", "In", "In", "La", "La", "La", "La", "La", "La", "La", "La", "La", "La", "La", "La"],
  "frac_coords": [[0.073, 0.647, 0.245], [0.573, 0.853, 0.745], [0.927, 0.353, 0.755], [0.427, 0.147, 0.255], [0.000, 0.000, 0.500], [0.500, 0.500, 0.000], [0.942, 0.986, 0.192], [0.514, 0.168, 0.565], [0.538, 0.149, 0.935], [0.442, 0.514, 0.692], [0.038, 0.351, 0.435], [0.014, 0.332, 0.065], [0.486, 0.832, 0.435], [0.986, 0.668, 0.935], [0.058, 0.014, 0.808], [0.462, 0.851, 0.065], [0.962, 0.649, 0.565], [0.558, 0.486, 0.308]],
  "mass_density_g_cm3": 7.56,
  "e_form_ev_per_atom": -0.230
}